No. 1
The following is a DFT calculation (PBE) of a geometry-optimized Na2LiCuO4 structure.

Geometry as CIF:
```
data_Na2LiCuO4
_chemical_formula_sum 'Na4 Li2 Cu2 O8'
_cell_length_a 5.754
_cell_length_b 5.754
_cell_length_c 5.638
_cell_angle_alpha 90.00
_cell_angle_beta 90.00
_cell_angle_gamma 90.00
_symmetry_space_group_name_H-M 'I -4 2 m'
_symmetry_Int_Tables_number 121
_symmetry_space_group_name_Hall 'I -4 2'
loop_
_atom_site_label
_atom_site_type_symbol
_atom_site_fract_x
_atom_site_fract_y
_atom_site_fract_z
Na1 Na 0.000 0.500 0.000
Li1 Li 0.000 0.000 0.000
Cu1 Cu 0.000 0.000 0.500
O1 O 0.153 0.153 0.270
```

Results
- total magnetization (Bohr magnetons per cell) = 0.0
- density of states at the Fermi level (states/eV/cell) = 1.66
- energy relative to the elements, uncorrected (eV/atom) = -0.81

No. 2
The following is a DFT calculation (PBE) of a geometry-optimized CeScGePd structure.

Geometry as CIF:
```
data_CeScGePd
_chemical_formula_sum 'Ce4 Sc4 Ge4 Pd4'
_cell_length_a 6.992
_cell_length_b 6.992
_cell_length_c 6.992
_cell_angle_alpha 90.00
_cell_angle_beta 90.00
_cell_angle_gamma 90.00
_symmetry_space_group_name_H-M 'F -4 3 m'
_symmetry_Int_Tables_number 216
_symmetry_space_group_name_Hall 'F -4 2 3'
loop_
_atom_site_label
_atom_site_type_symbol
_atom_site_fract_x
_atom_site_fract_y
_atom_site_fract_z
Ce1 Ce 0.000 0.000 0.000
Sc1 Sc 0.000 0.000 0.500
Ge1 Ge 0.250 0.250 0.250
Pd1 Pd 0.250 0.250 0.750
```

Results
- total magnetization (Bohr magnetons per cell) = 4.2
- formation energy from the elements (eV per atom) = -0.6581
- density of states at the Fermi level (states/eV/cell) = 32.63

Question: Which of these has the highest total magnetization?
Answer: CeScGePd

Question: Which of these has the lowest density of states at the Fermi level?
Answer: Na2LiCuO4

Question: Which of these has the lowest total magnetization?
Answer: Na2LiCuO4